Entry from the Alexandria database: an optimized crystal structure of Pm2Pr3Dy4 (GGA-PBE).

Computed properties:
Energy above the lowest structure with this stoichiometry ... 0.076 eV per atom
Formation energy ... 0.094 eV per atom
E_tot ... -82.8 eV for the cell shown

POSCAR file:
```
Pm2Pr3Dy4
1.0
-6.075 -0.543 -0.602
-5.023 -7.552 6.816
-6.237 4.115 8.538
Pr Pm Dy
6 4 8
Direct
0.744 0.721 0.948
0.256 0.279 0.052
0.750 0.384 0.616
0.244 0.948 0.721
0.756 0.052 0.279
0.250 0.616 0.384
0.576 0.746 0.488
0.424 0.254 0.512
0.924 0.512 0.254
0.076 0.488 0.746
0.578 0.076 0.821
0.422 0.924 0.179
0.922 0.179 0.924
0.913 0.851 0.591
0.078 0.821 0.076
0.087 0.149 0.409
0.413 0.591 0.851
0.587 0.409 0.149
```

=====

Entry from the Alexandria database: an optimized crystal structure of Er6IrAu5 (GGA-PBE).

Computed properties:
Formation energy ... -0.884 eV per atom
E_tot ... -63.2 eV for the cell shown

POSCAR file:
```
Er6IrAu5
1.0
-4.173 -2.127 1.730
1.556 -5.939 -3.551
1.702 -3.641 6.834
Au Er Ir
5 6 1
Direct
0.334 0.500 0.333
0.328 0.000 0.343
0.000 0.500 0.000
0.672 0.000 0.657
0.666 0.500 0.667
0.500 0.239 0.000
0.839 0.246 0.323
0.839 0.754 0.323
0.161 0.246 0.677
0.161 0.754 0.677
0.500 0.761 0.000
0.000 0.000 0.000
```